Computed, not measured: crystalline Rb2WBr5 at its relaxed geometry at the GGA-PBE level of DFT.

Properties
Energy ... -3.848 eV/atom

Geometry as CIF:
```
data_Rb2WBr5
_chemical_formula_sum 'Rb4 W2 Br10'
_cell_length_a 7.9798
_cell_length_b 7.9798
_cell_length_c 9.7852
_cell_angle_alpha 90.00
_cell_angle_beta 90.00
_cell_angle_gamma 90.00
_symmetry_space_group_name_H-M 'P 1'
_symmetry_Int_Tables_number 1
loop_
_symmetry_equiv_pos_as_xyz
'x,y,z'
loop_
_atom_site_label
_atom_site_type_symbol
_atom_site_fract_x
_atom_site_fract_y
_atom_site_fract_z
Rb1 Rb 0.0000 0.5000 0.0000
Rb2 Rb 0.0000 0.5000 0.5000
Rb3 Rb 0.5000 0.0000 0.0000
Rb4 Rb 0.5000 0.0000 0.5000
W1 W 0.0000 0.0000 0.2194
W2 W 0.5000 0.5000 0.7194
Br1 Br 0.0000 0.0000 0.9678
Br2 Br 0.2270 0.2270 0.2523
Br3 Br 0.2270 0.7730 0.2523
Br4 Br 0.2730 0.2730 0.7523
Br5 Br 0.2730 0.7270 0.7523
Br6 Br 0.5000 0.5000 0.4678
Br7 Br 0.7270 0.2730 0.7523
Br8 Br 0.7270 0.7270 0.7523
Br9 Br 0.7730 0.2270 0.2523
Br10 Br 0.7730 0.7730 0.2523
```


Computed, not measured: crystalline Rb2WBr7 at its relaxed geometry at the GGA-PBE level of DFT.

Properties
Energy ... -3.526 eV/atom

Geometry as CIF:
```
data_Rb2WBr7
_chemical_formula_sum 'Rb4 W2 Br14'
_cell_length_a 9.8285
_cell_length_b 9.8285
_cell_length_c 12.7922
_cell_angle_alpha 124.84
_cell_angle_beta 124.84
_cell_angle_gamma 50.02
_symmetry_space_group_name_H-M 'P 1'
_symmetry_Int_Tables_number 1
loop_
_symmetry_equiv_pos_as_xyz
'x,y,z'
loop_
_atom_site_label
_atom_site_type_symbol
_atom_site_fract_x
_atom_site_fract_y
_atom_site_fract_z
Rb1 Rb 0.0368 0.7055 0.9599
Rb2 Rb 0.2945 0.9632 0.5401
Rb3 Rb 0.7055 0.0368 0.4599
Rb4 Rb 0.9632 0.2945 0.0401
W1 W 0.2827 0.7173 0.7500
W2 W 0.7173 0.2827 0.2500
Br1 Br 0.0752 0.1113 0.2606
Br2 Br 0.1113 0.0752 0.7606
Br3 Br 0.1970 0.6317 0.5020
Br4 Br 0.2142 0.4585 0.6934
Br5 Br 0.3683 0.8030 0.9980
Br6 Br 0.3996 0.6004 0.2500
Br7 Br 0.4585 0.2142 0.1934
Br8 Br 0.5415 0.7858 0.8066
Br9 Br 0.6004 0.3996 0.7500
Br10 Br 0.6317 0.1970 0.0020
Br11 Br 0.7858 0.5415 0.3066
Br12 Br 0.8030 0.3683 0.4980
Br13 Br 0.8887 0.9248 0.2394
Br14 Br 0.9248 0.8887 0.7394
```


Computed, not measured: crystalline Rb2WBr6 at its relaxed geometry at the GGA-PBE level of DFT.

Properties
E above lowest polymorph ... 25 meV/atom
Energy ... -3.798 eV/atom

Geometry as CIF:
```
data_Rb2WBr6
_chemical_formula_sum 'Rb2 W1 Br6'
_cell_length_a 7.4913
_cell_length_b 7.4913
_cell_length_c 6.5189
_cell_angle_alpha 90.51
_cell_angle_beta 90.51
_cell_angle_gamma 60.06
_symmetry_space_group_name_H-M 'P 1'
_symmetry_Int_Tables_number 1
loop_
_symmetry_equiv_pos_as_xyz
'x,y,z'
loop_
_atom_site_label
_atom_site_type_symbol
_atom_site_fract_x
_atom_site_fract_y
_atom_site_fract_z
Rb1 Rb 0.1676 0.1676 0.2205
Rb2 Rb 0.8324 0.8324 0.7795
W1 W 0.5000 0.5000 0.0000
Br1 Br 0.1785 0.6615 0.2251
Br2 Br 0.3382 0.3382 0.7724
Br3 Br 0.3385 0.8215 0.7749
Br4 Br 0.6615 0.1785 0.2251
Br5 Br 0.6618 0.6618 0.2276
Br6 Br 0.8215 0.3385 0.7749
```


Computed, not measured: crystalline Rb2WBr6 at its relaxed geometry at the GGA-PBE level of DFT.

Properties
E above lowest polymorph ... 0 meV/atom
Energy ... -3.824 eV/atom

Geometry as CIF:
```
data_Rb2WBr6
_chemical_formula_sum 'Rb2 W1 Br6'
_cell_length_a 7.6107
_cell_length_b 7.6107
_cell_length_c 7.6107
_cell_angle_alpha 60.00
_cell_angle_beta 60.00
_cell_angle_gamma 60.00
_symmetry_space_group_name_H-M 'P 1'
_symmetry_Int_Tables_number 1
loop_
_symmetry_equiv_pos_as_xyz
'x,y,z'
loop_
_atom_site_label
_atom_site_type_symbol
_atom_site_fract_x
_atom_site_fract_y
_atom_site_fract_z
Rb1 Rb 0.2500 0.2500 0.2500
Rb2 Rb 0.7500 0.7500 0.7500
W1 W 0.0000 0.0000 0.0000
Br1 Br 0.2376 0.2376 0.7624
Br2 Br 0.2376 0.7624 0.2376
Br3 Br 0.2376 0.7624 0.7624
Br4 Br 0.7624 0.2376 0.2376
Br5 Br 0.7624 0.2376 0.7624
Br6 Br 0.7624 0.7624 0.2376
```


Computed, not measured: crystalline RbWBr2 at its relaxed geometry at the GGA-PBE level of DFT.

Properties
E above lowest polymorph ... 100 meV/atom
Energy ... -3.881 eV/atom

Geometry as CIF:
```
data_RbWBr2
_chemical_formula_sum 'Rb4 W4 Br8'
_cell_length_a 6.3566
_cell_length_b 6.3566
_cell_length_c 14.1058
_cell_angle_alpha 90.00
_cell_angle_beta 90.00
_cell_angle_gamma 90.00
_symmetry_space_group_name_H-M 'P 1'
_symmetry_Int_Tables_number 1
loop_
_symmetry_equiv_pos_as_xyz
'x,y,z'
loop_
_atom_site_label
_atom_site_type_symbol
_atom_site_fract_x
_atom_site_fract_y
_atom_site_fract_z
Rb1 Rb 0.0000 0.0000 0.0000
Rb2 Rb 0.0000 0.5000 0.2500
Rb3 Rb 0.5000 0.0000 0.7500
Rb4 Rb 0.5000 0.5000 0.5000
W1 W 0.0000 0.0000 0.5000
W2 W 0.0000 0.5000 0.7500
W3 W 0.5000 0.0000 0.2500
W4 W 0.5000 0.5000 0.0000
Br1 Br 0.1230 0.2500 0.6250
Br2 Br 0.2500 0.6230 0.8750
Br3 Br 0.2500 0.8770 0.3750
Br4 Br 0.3770 0.2500 0.1250
Br5 Br 0.6230 0.7500 0.1250
Br6 Br 0.7500 0.1230 0.3750
Br7 Br 0.7500 0.3770 0.8750
Br8 Br 0.8770 0.7500 0.6250
```


Computed, not measured: crystalline RbWBr2 at its relaxed geometry at the GGA-PBE level of DFT.

Properties
E above lowest polymorph ... 0 meV/atom
Energy ... -3.980 eV/atom

Geometry as CIF:
```
data_RbWBr2
_chemical_formula_sum 'Rb3 W3 Br6'
_cell_length_a 3.4122
_cell_length_b 3.4122
_cell_length_c 30.2807
_cell_angle_alpha 90.00
_cell_angle_beta 90.00
_cell_angle_gamma 120.00
_symmetry_space_group_name_H-M 'P 1'
_symmetry_Int_Tables_number 1
loop_
_symmetry_equiv_pos_as_xyz
'x,y,z'
loop_
_atom_site_label
_atom_site_type_symbol
_atom_site_fract_x
_atom_site_fract_y
_atom_site_fract_z
Rb1 Rb 0.0000 0.0000 0.0000
Rb2 Rb 0.3333 0.6667 0.6667
Rb3 Rb 0.6667 0.3333 0.3333
W1 W 0.0000 0.0000 0.5000
W2 W 0.3333 0.6667 0.1667
W3 W 0.6667 0.3333 0.8333
Br1 Br 0.0000 0.0000 0.4183
Br2 Br 0.0000 0.0000 0.5817
Br3 Br 0.3333 0.6667 0.0849
Br4 Br 0.3333 0.6667 0.2484
Br5 Br 0.6667 0.3333 0.7516
Br6 Br 0.6667 0.3333 0.9151
```


Computed, not measured: crystalline RbW3Br7 at its relaxed geometry at the GGA-PBE level of DFT.

Properties
Energy ... -5.394 eV/atom

Geometry as CIF:
```
data_RbW3Br7
_chemical_formula_sum 'Rb4 W12 Br28'
_cell_length_a 13.1539
_cell_length_b 13.1539
_cell_length_c 10.1137
_cell_angle_alpha 110.17
_cell_angle_beta 110.17
_cell_angle_gamma 74.60
_symmetry_space_group_name_H-M 'P 1'
_symmetry_Int_Tables_number 1
loop_
_symmetry_equiv_pos_as_xyz
'x,y,z'
loop_
_atom_site_label
_atom_site_type_symbol
_atom_site_fract_x
_atom_site_fract_y
_atom_site_fract_z
Rb1 Rb 0.0000 0.0000 0.0000
Rb2 Rb 0.0000 0.0000 0.5000
Rb3 Rb 0.4308 0.5692 0.7500
Rb4 Rb 0.5692 0.4308 0.2500
W1 W 0.0436 0.3474 0.9426
W2 W 0.0674 0.5146 0.8728
W3 W 0.1319 0.5130 0.1515
W4 W 0.3474 0.0436 0.4426
W5 W 0.4854 0.9326 0.6272
W6 W 0.4870 0.8681 0.3485
W7 W 0.5130 0.1319 0.6515
W8 W 0.5146 0.0674 0.3728
W9 W 0.6526 0.9564 0.5574
W10 W 0.8681 0.4870 0.8485
W11 W 0.9326 0.4854 0.1272
W12 W 0.9564 0.6526 0.0574
Br1 Br 0.0218 0.6509 0.3371
Br2 Br 0.1077 0.1308 0.8612
Br3 Br 0.1078 0.3462 0.2213
Br4 Br 0.1308 0.1077 0.3612
Br5 Br 0.1550 0.6812 0.0803
Br6 Br 0.1612 0.5367 0.6970
Br7 Br 0.2428 0.3748 0.9672
Br8 Br 0.3192 0.5309 0.3621
Br9 Br 0.3188 0.8450 0.4197
Br10 Br 0.3462 0.1078 0.7213
Br11 Br 0.3491 0.9782 0.1629
Br12 Br 0.3748 0.2428 0.4672
Br13 Br 0.4633 0.8388 0.8030
Br14 Br 0.4691 0.6808 0.1379
Br15 Br 0.5309 0.3192 0.8621
Br16 Br 0.5367 0.1612 0.1970
Br17 Br 0.6252 0.7572 0.5328
Br18 Br 0.6509 0.0218 0.8371
Br19 Br 0.6538 0.8922 0.2787
Br20 Br 0.6812 0.1550 0.5803
Br21 Br 0.6808 0.4691 0.6379
Br22 Br 0.7572 0.6252 0.0328
Br23 Br 0.8388 0.4633 0.3030
Br24 Br 0.8450 0.3188 0.9197
Br25 Br 0.8692 0.8923 0.6388
Br26 Br 0.8922 0.6538 0.7787
Br27 Br 0.8923 0.8692 0.1388
Br28 Br 0.9782 0.3491 0.6629
```


Computed, not measured: crystalline RbWBr2 at its relaxed geometry at the GGA-PBE level of DFT.

Properties
E above lowest polymorph ... 313 meV/atom
Energy ... -3.668 eV/atom

Geometry as CIF:
```
data_RbWBr2
_chemical_formula_sum 'Rb4 W4 Br8'
_cell_length_a 7.8164
_cell_length_b 7.8164
_cell_length_c 7.8164
_cell_angle_alpha 90.00
_cell_angle_beta 90.00
_cell_angle_gamma 90.00
_symmetry_space_group_name_H-M 'P 1'
_symmetry_Int_Tables_number 1
loop_
_symmetry_equiv_pos_as_xyz
'x,y,z'
loop_
_atom_site_label
_atom_site_type_symbol
_atom_site_fract_x
_atom_site_fract_y
_atom_site_fract_z
Rb1 Rb 0.0000 0.0000 0.0000
Rb2 Rb 0.0000 0.5000 0.5000
Rb3 Rb 0.5000 0.0000 0.5000
Rb4 Rb 0.5000 0.5000 0.0000
W1 W 0.0000 0.0000 0.5000
W2 W 0.0000 0.5000 0.0000
W3 W 0.5000 0.0000 0.0000
W4 W 0.5000 0.5000 0.5000
Br1 Br 0.2500 0.2500 0.2500
Br2 Br 0.2500 0.2500 0.7500
Br3 Br 0.2500 0.7500 0.2500
Br4 Br 0.2500 0.7500 0.7500
Br5 Br 0.7500 0.2500 0.2500
Br6 Br 0.7500 0.2500 0.7500
Br7 Br 0.7500 0.7500 0.2500
Br8 Br 0.7500 0.7500 0.7500
```


Computed, not measured: crystalline RbWBr5 at its relaxed geometry at the GGA-PBE level of DFT.

Properties
Energy ... -3.925 eV/atom

Geometry as CIF:
```
data_RbWBr5
_chemical_formula_sum 'Rb2 W2 Br10'
_cell_length_a 8.3699
_cell_length_b 8.3699
_cell_length_c 10.0908
_cell_angle_alpha 108.11
_cell_angle_beta 108.11
_cell_angle_gamma 56.55
_symmetry_space_group_name_H-M 'P 1'
_symmetry_Int_Tables_number 1
loop_
_symmetry_equiv_pos_as_xyz
'x,y,z'
loop_
_atom_site_label
_atom_site_type_symbol
_atom_site_fract_x
_atom_site_fract_y
_atom_site_fract_z
Rb1 Rb 0.0187 0.9813 0.7500
Rb2 Rb 0.9813 0.0187 0.2500
W1 W 0.5000 0.5000 0.0000
W2 W 0.5000 0.5000 0.5000
Br1 Br 0.1477 0.5960 0.4675
Br2 Br 0.1506 0.5857 0.8977
Br3 Br 0.4040 0.8523 0.0325
Br4 Br 0.4115 0.5885 0.2500
Br5 Br 0.4143 0.8494 0.6023
Br6 Br 0.5857 0.1506 0.3977
Br7 Br 0.5885 0.4115 0.7500
Br8 Br 0.5960 0.1477 0.9675
Br9 Br 0.8494 0.4143 0.1023
Br10 Br 0.8523 0.4040 0.5325
```


Computed, not measured: crystalline Rb2YWBr6 at its relaxed geometry at the GGA-PBE level of DFT.

Properties
Energy ... -4.111 eV/atom

Geometry as CIF:
```
data_Rb2YWBr6
_chemical_formula_sum 'Rb2 Y1 W1 Br6'
_cell_length_a 7.6716
_cell_length_b 7.6716
_cell_length_c 7.6716
_cell_angle_alpha 60.00
_cell_angle_beta 60.00
_cell_angle_gamma 60.00
_symmetry_space_group_name_H-M 'P 1'
_symmetry_Int_Tables_number 1
loop_
_symmetry_equiv_pos_as_xyz
'x,y,z'
loop_
_atom_site_label
_atom_site_type_symbol
_atom_site_fract_x
_atom_site_fract_y
_atom_site_fract_z
Rb1 Rb 0.2500 0.2500 0.2500
Rb2 Rb 0.7500 0.7500 0.7500
Y1 Y 0.0000 0.0000 0.0000
W1 W 0.5000 0.5000 0.5000
Br1 Br 0.2589 0.2589 0.7411
Br2 Br 0.2589 0.7411 0.2589
Br3 Br 0.2589 0.7411 0.7411
Br4 Br 0.7411 0.2589 0.2589
Br5 Br 0.7411 0.2589 0.7411
Br6 Br 0.7411 0.7411 0.2589
```


Computed, not measured: crystalline Rb2ZnWBr6 at its relaxed geometry at the GGA-PBE level of DFT.

Properties
Energy ... -3.436 eV/atom

Geometry as CIF:
```
data_Rb2ZnWBr6
_chemical_formula_sum 'Rb2 Zn1 W1 Br6'
_cell_length_a 7.7181
_cell_length_b 7.7181
_cell_length_c 7.7181
_cell_angle_alpha 120.23
_cell_angle_beta 120.23
_cell_angle_gamma 89.60
_symmetry_space_group_name_H-M 'P 1'
_symmetry_Int_Tables_number 1
loop_
_symmetry_equiv_pos_as_xyz
'x,y,z'
loop_
_atom_site_label
_atom_site_type_symbol
_atom_site_fract_x
_atom_site_fract_y
_atom_site_fract_z
Rb1 Rb 0.2500 0.7500 0.5000
Rb2 Rb 0.7500 0.2500 0.5000
Zn1 Zn 0.0000 0.0000 0.0000
W1 W 0.5000 0.5000 0.0000
Br1 Br 0.2580 0.2580 0.5161
Br2 Br 0.2580 0.7420 0.0000
Br3 Br 0.2603 0.2603 0.0000
Br4 Br 0.7397 0.7397 0.0000
Br5 Br 0.7420 0.2580 0.0000
Br6 Br 0.7420 0.7420 0.4839
```


Computed, not measured: crystalline Rb2ZrWBr6 at its relaxed geometry at the GGA-PBE level of DFT.

Properties
Energy ... -4.071 eV/atom

Geometry as CIF:
```
data_Rb2ZrWBr6
_chemical_formula_sum 'Rb2 Zr1 W1 Br6'
_cell_length_a 7.5396
_cell_length_b 7.5396
_cell_length_c 7.5396
_cell_angle_alpha 60.00
_cell_angle_beta 60.00
_cell_angle_gamma 60.00
_symmetry_space_group_name_H-M 'P 1'
_symmetry_Int_Tables_number 1
loop_
_symmetry_equiv_pos_as_xyz
'x,y,z'
loop_
_atom_site_label
_atom_site_type_symbol
_atom_site_fract_x
_atom_site_fract_y
_atom_site_fract_z
Rb1 Rb 0.2500 0.2500 0.2500
Rb2 Rb 0.7500 0.7500 0.7500
Zr1 Zr 0.0000 0.0000 0.0000
W1 W 0.5000 0.5000 0.5000
Br1 Br 0.2550 0.2550 0.7450
Br2 Br 0.2550 0.7450 0.2550
Br3 Br 0.2550 0.7450 0.7450
Br4 Br 0.7450 0.2550 0.2550
Br5 Br 0.7450 0.2550 0.7450
Br6 Br 0.7450 0.7450 0.2550
```


The highest energy belongs to which entry?
Rb2ZnWBr6


Please write out number 1 again, unchanged.
Computed, not measured: crystalline Rb2WBr5 at its relaxed geometry at the GGA-PBE level of DFT.

Properties
Energy ... -3.848 eV/atom

Geometry as CIF:
```
data_Rb2WBr5
_chemical_formula_sum 'Rb4 W2 Br10'
_cell_length_a 7.9798
_cell_length_b 7.9798
_cell_length_c 9.7852
_cell_angle_alpha 90.00
_cell_angle_beta 90.00
_cell_angle_gamma 90.00
_symmetry_space_group_name_H-M 'P 1'
_symmetry_Int_Tables_number 1
loop_
_symmetry_equiv_pos_as_xyz
'x,y,z'
loop_
_atom_site_label
_atom_site_type_symbol
_atom_site_fract_x
_atom_site_fract_y
_atom_site_fract_z
Rb1 Rb 0.0000 0.5000 0.0000
Rb2 Rb 0.0000 0.5000 0.5000
Rb3 Rb 0.5000 0.0000 0.0000
Rb4 Rb 0.5000 0.0000 0.5000
W1 W 0.0000 0.0000 0.2194
W2 W 0.5000 0.5000 0.7194
Br1 Br 0.0000 0.0000 0.9678
Br2 Br 0.2270 0.2270 0.2523
Br3 Br 0.2270 0.7730 0.2523
Br4 Br 0.2730 0.2730 0.7523
Br5 Br 0.2730 0.7270 0.7523
Br6 Br 0.5000 0.5000 0.4678
Br7 Br 0.7270 0.2730 0.7523
Br8 Br 0.7270 0.7270 0.7523
Br9 Br 0.7730 0.2270 0.2523
Br10 Br 0.7730 0.7730 0.2523
```


What is the formula in the sixth record?
RbWBr2